Entry 1:
Computed, not measured: an optimized crystal structure of CaTl3Hg4 at the PBE-GGA level of DFT.

The volume is 28.0 Å³ per atom. The polymorph energy (0 for the lowest one) is 0.000 eV per atom. For the formation energy, the calculation gives -0.157 eV per atom.

Cell and atoms, written as CIF:
```
data_CaTl3Hg4
_chemical_formula_sum 'Ca1 Tl3 Hg4'
_symmetry_space_group_name_H-M 'P 4/m m m'
_symmetry_Int_Tables_number 123
_symmetry_space_group_name_Hall '-P 4 2'
_cell_length_a 3.967
_cell_length_b 3.967
_cell_length_c 14.258
_cell_angle_alpha 90.00
_cell_angle_beta 90.00
_cell_angle_gamma 90.00
loop_
_atom_site_label
_atom_site_type_symbol
_atom_site_fract_x
_atom_site_fract_y
_atom_site_fract_z
_atom_site_occupancy
Ca1 Ca 0.000 0.000 0.000 1
Tl1 Tl 0.000 0.000 0.245 1
Tl2 Tl 0.000 0.000 0.500 1
Hg1 Hg 0.500 0.500 0.118 1
Hg2 Hg 0.500 0.500 0.372 1
```


Entry 2:
Computed, not measured: an optimized crystal structure of RbHg2MoW at the PBE-GGA level of DFT.

The volume is 29.5 Å³ per atom. For the formation energy, the calculation gives 1.006 eV per atom.

Cell and atoms, written as CIF:
```
data_RbHg2MoW
_chemical_formula_sum 'Rb1 Hg2 Mo1 W1'
_symmetry_space_group_name_H-M 'P 4/m m m'
_symmetry_Int_Tables_number 123
_symmetry_space_group_name_Hall '-P 4 2'
_cell_length_a 5.623
_cell_length_b 5.623
_cell_length_c 4.660
_cell_angle_alpha 90.00
_cell_angle_beta 90.00
_cell_angle_gamma 90.00
loop_
_atom_site_label
_atom_site_type_symbol
_atom_site_fract_x
_atom_site_fract_y
_atom_site_fract_z
_atom_site_occupancy
Rb1 Rb 0.000 0.000 0.000 1
Hg1 Hg 0.000 0.500 0.500 1
Mo1 Mo 0.500 0.500 0.500 1
W1 W 0.500 0.500 0.000 1
```


Entry 3:
Computed, not measured: an optimized crystal structure of Dy2Er2Tl5 at the PBE-GGA level of DFT.

The volume is 29.0 Å³ per atom. For the formation energy, the calculation gives -0.173 eV per atom.

Cell and atoms, written as CIF:
```
data_Dy2Er2Tl5
_chemical_formula_sum 'Dy8 Er8 Tl20'
_symmetry_space_group_name_H-M 'C m c e'
_symmetry_Int_Tables_number 64
_symmetry_space_group_name_Hall '-C 2ac 2'
_cell_length_a 16.046
_cell_length_b 8.020
_cell_length_c 8.121
_cell_angle_alpha 90.00
_cell_angle_beta 90.00
_cell_angle_gamma 90.00
loop_
_atom_site_label
_atom_site_type_symbol
_atom_site_fract_x
_atom_site_fract_y
_atom_site_fract_z
_atom_site_occupancy
Dy1 Dy 0.200 0.000 0.000 1
Er1 Er 0.000 0.152 0.345 1
Tl1 Tl 0.000 0.000 0.000 1
Tl2 Tl 0.136 0.148 0.647 1
```


Entry 4:
Computed, not measured: an optimized crystal structure of SmPuZnAu at the PBE-GGA level of DFT.

The volume is 24.2 Å³ per atom. For the formation energy, the calculation gives -0.343 eV per atom.

Cell and atoms, written as CIF:
```
data_SmPuZnAu
_chemical_formula_sum 'Sm4 Pu4 Zn4 Au4'
_symmetry_space_group_name_H-M 'F -4 3 m'
_symmetry_Int_Tables_number 216
_symmetry_space_group_name_Hall 'F -4 2 3'
_cell_length_a 7.293
_cell_length_b 7.293
_cell_length_c 7.293
_cell_angle_alpha 90.00
_cell_angle_beta 90.00
_cell_angle_gamma 90.00
loop_
_atom_site_label
_atom_site_type_symbol
_atom_site_fract_x
_atom_site_fract_y
_atom_site_fract_z
_atom_site_occupancy
Sm1 Sm 0.000 0.000 0.000 1
Pu1 Pu 0.000 0.000 0.500 1
Zn1 Zn 0.250 0.250 0.250 1
Au1 Au 0.250 0.250 0.750 1
```